A relaxed SmGa4Ag12 crystal, computed with PBE.

Summary:
The calculation puts the total magnetization at 0.0 μB per cell. The calculation puts the formation energy at 0.2125 eV/atom.

a = 7.818 Å, b = 7.818 Å, c = 7.818 Å
α = 109.47°, β = 109.47°, γ = 109.47°
Element x y z (fractional)
Sm: 0.000 0.000 0.000
Ga: 0.000 0.000 0.500
Ga: 0.000 0.500 0.000
Ga: 0.500 0.000 0.000
Ga: 0.500 0.500 0.500
Ag: 0.154 0.500 0.346
Ag: 0.154 0.809 0.654
Ag: 0.191 0.346 0.846
Ag: 0.346 0.154 0.500
Ag: 0.346 0.846 0.191
Ag: 0.500 0.346 0.154
Ag: 0.500 0.654 0.846
Ag: 0.654 0.154 0.809
Ag: 0.654 0.846 0.500
Ag: 0.809 0.654 0.154
Ag: 0.846 0.191 0.346
Ag: 0.846 0.500 0.654


A relaxed Sm3GaAg crystal, computed with PBE.

Summary:
The calculation puts the total magnetization at 0.0 μB per cell. The calculation puts the formation energy at -0.2039 eV/atom. Its relative energy among the computed polymorphs is 0.110 eV per atom.

a = 8.599 Å, b = 8.599 Å, c = 9.154 Å
α = 92.35°, β = 92.35°, γ = 54.70°
Element x y z (fractional)
Sm: 0.136 0.258 0.332
Sm: 0.144 0.775 0.927
Sm: 0.225 0.856 0.573
Sm: 0.258 0.136 0.832
Sm: 0.384 0.391 0.651
Sm: 0.391 0.384 0.151
Sm: 0.609 0.616 0.849
Sm: 0.616 0.609 0.349
Sm: 0.742 0.864 0.168
Sm: 0.775 0.144 0.427
Sm: 0.856 0.225 0.073
Sm: 0.864 0.742 0.668
Ga: 0.085 0.635 0.395
Ga: 0.365 0.915 0.105
Ga: 0.635 0.085 0.895
Ga: 0.915 0.365 0.605
Ag: 0.000 0.500 0.000
Ag: 0.145 0.855 0.250
Ag: 0.500 0.000 0.500
Ag: 0.855 0.145 0.750


Question: What is the total magnetization in the first record?
Answer: 0.0 μB per cell


What did the second record say?
A relaxed Sm3GaAg crystal, computed with PBE.

Summary:
The calculation puts the total magnetization at 0.0 μB per cell. The calculation puts the formation energy at -0.2039 eV/atom. Its relative energy among the computed polymorphs is 0.110 eV per atom.

a = 8.599 Å, b = 8.599 Å, c = 9.154 Å
α = 92.35°, β = 92.35°, γ = 54.70°
Element x y z (fractional)
Sm: 0.136 0.258 0.332
Sm: 0.144 0.775 0.927
Sm: 0.225 0.856 0.573
Sm: 0.258 0.136 0.832
Sm: 0.384 0.391 0.651
Sm: 0.391 0.384 0.151
Sm: 0.609 0.616 0.849
Sm: 0.616 0.609 0.349
Sm: 0.742 0.864 0.168
Sm: 0.775 0.144 0.427
Sm: 0.856 0.225 0.073
Sm: 0.864 0.742 0.668
Ga: 0.085 0.635 0.395
Ga: 0.365 0.915 0.105
Ga: 0.635 0.085 0.895
Ga: 0.915 0.365 0.605
Ag: 0.000 0.500 0.000
Ag: 0.145 0.855 0.250
Ag: 0.500 0.000 0.500
Ag: 0.855 0.145 0.750